#a
# AsOsSe2N meta-GGA SCAN single point on PBEsol structure
data_AsOsSe2N
_chemical_formula_sum 'As1 Os1 Se2 N1'
_symmetry_space_group_name_H-M 'P 1'
_symmetry_Int_Tables_number 1
_symmetry_space_group_name_Hall 'P 1'
_cell_length_a 4.9971
_cell_length_b 4.9971
_cell_length_c 3.6508
_cell_angle_alpha 90.00
_cell_angle_beta 90.00
_cell_angle_gamma 90.00
loop_
_atom_site_label
_atom_site_type_symbol
_atom_site_fract_x
_atom_site_fract_y
_atom_site_fract_z
As1 As 0.0000 0.0000 0.0000
Os1 Os 0.5000 0.5000 0.5000
Se1 Se 0.0000 0.5000 0.5000
Se2 Se 0.5000 0.0000 0.5000
N1 N 0.5000 0.5000 0.0000
# SG: P4/mmm, No. 123
# Volume, Å³/cell: 91.2

---

#b
# AsOsSe2N meta-GGA SCAN single point on PBEsol structure
data_AsOsSe2N
_chemical_formula_sum 'As1 Os1 Se2 N1'
_symmetry_space_group_name_H-M 'P 1'
_symmetry_Int_Tables_number 1
_symmetry_space_group_name_Hall 'P 1'
_cell_length_a 4.1582
_cell_length_b 4.1582
_cell_length_c 4.2166
_cell_angle_alpha 90.00
_cell_angle_beta 90.00
_cell_angle_gamma 90.00
loop_
_atom_site_label
_atom_site_type_symbol
_atom_site_fract_x
_atom_site_fract_y
_atom_site_fract_z
As1 As 0.0000 0.0000 0.0000
Os1 Os 0.5000 0.5000 0.0000
Se1 Se 0.0000 0.5000 0.5000
Se2 Se 0.5000 0.0000 0.5000
N1 N 0.0000 0.0000 0.5000
# SG: P4/mmm, No. 123
# Volume, Å³/cell: 72.9

---

Order of stability, best first: #a, #b

---

#a
# TeAsSN2 meta-GGA SCAN single point on PBEsol structure
data_TeAsSN2
_chemical_formula_sum 'Te1 As1 S1 N2'
_symmetry_space_group_name_H-M 'P 1'
_symmetry_Int_Tables_number 1
_symmetry_space_group_name_Hall 'P 1'
_cell_length_a 3.8439
_cell_length_b 3.8439
_cell_length_c 4.7546
_cell_angle_alpha 90.00
_cell_angle_beta 90.00
_cell_angle_gamma 90.00
loop_
_atom_site_label
_atom_site_type_symbol
_atom_site_fract_x
_atom_site_fract_y
_atom_site_fract_z
Te1 Te 0.0000 0.0000 0.0000
As1 As 0.5000 0.5000 0.5000
S1 S 0.5000 0.5000 0.0000
N1 N 0.0000 0.5000 0.5000
N2 N 0.5000 0.0000 0.5000
# SG: P4/mmm, No. 123
# Volume, Å³/cell: 70.3

---

#b
# TeAsSN2 meta-GGA SCAN single point on PBEsol structure
data_TeAsSN2
_chemical_formula_sum 'Te1 As1 S1 N2'
_symmetry_space_group_name_H-M 'P 1'
_symmetry_Int_Tables_number 1
_symmetry_space_group_name_Hall 'P 1'
_cell_length_a 3.6552
_cell_length_b 3.6552
_cell_length_c 6.4068
_cell_angle_alpha 90.00
_cell_angle_beta 90.00
_cell_angle_gamma 90.00
loop_
_atom_site_label
_atom_site_type_symbol
_atom_site_fract_x
_atom_site_fract_y
_atom_site_fract_z
Te1 Te 0.0000 0.0000 0.0000
As1 As 0.5000 0.5000 0.0000
S1 S 0.0000 0.0000 0.5000
N1 N 0.0000 0.5000 0.5000
N2 N 0.5000 0.0000 0.5000
# SG: P4/mmm, No. 123
# Volume, Å³/cell: 85.6

---

Order of stability, best first: #a, #b

---

#a
# TlAs2SeN meta-GGA SCAN single point on PBEsol structure
data_TlAs2SeN
_chemical_formula_sum 'Tl1 As2 Se1 N1'
_symmetry_space_group_name_H-M 'P 1'
_symmetry_Int_Tables_number 1
_symmetry_space_group_name_Hall 'P 1'
_cell_length_a 4.5323
_cell_length_b 4.5323
_cell_length_c 4.3276
_cell_angle_alpha 90.00
_cell_angle_beta 90.00
_cell_angle_gamma 90.00
loop_
_atom_site_label
_atom_site_type_symbol
_atom_site_fract_x
_atom_site_fract_y
_atom_site_fract_z
Tl1 Tl 0.0000 0.0000 0.0000
As1 As 0.0000 0.5000 0.5000
As2 As 0.5000 0.0000 0.5000
Se1 Se 0.5000 0.5000 0.0000
N1 N 0.5000 0.5000 0.5000
# SG: P4/mmm, No. 123
# Volume, Å³/cell: 88.9

---

#b
# TlAs2SeN meta-GGA SCAN single point on PBEsol structure
data_TlAs2SeN
_chemical_formula_sum 'Tl1 As2 Se1 N1'
_symmetry_space_group_name_H-M 'P 1'
_symmetry_Int_Tables_number 1
_symmetry_space_group_name_Hall 'P 1'
_cell_length_a 5.3316
_cell_length_b 5.3316
_cell_length_c 5.3372
_cell_angle_alpha 90.00
_cell_angle_beta 90.00
_cell_angle_gamma 90.00
loop_
_atom_site_label
_atom_site_type_symbol
_atom_site_fract_x
_atom_site_fract_y
_atom_site_fract_z
Tl1 Tl 0.0000 0.0000 0.0000
As1 As 0.0000 0.5000 0.0000
As2 As 0.5000 0.0000 0.0000
Se1 Se 0.0000 0.0000 0.5000
N1 N 0.5000 0.5000 0.5000
# SG: P4/mmm, No. 123
# Volume, Å³/cell: 151.7

---

Order of stability, best first: #a, #b

---

#a
# NaAs meta-GGA SCAN single point on PBEsol structure
data_NaAs
_chemical_formula_sum 'Na8 As8'
_symmetry_space_group_name_H-M 'P 1'
_symmetry_Int_Tables_number 1
_symmetry_space_group_name_Hall 'P 1'
_cell_length_a 6.2052
_cell_length_b 5.8701
_cell_length_c 11.4996
_cell_angle_alpha 90.00
_cell_angle_beta 116.95
_cell_angle_gamma 90.00
loop_
_atom_site_label
_atom_site_type_symbol
_atom_site_fract_x
_atom_site_fract_y
_atom_site_fract_z
Na1 Na 0.2188 0.1091 0.3306
Na2 Na 0.2188 0.3909 0.8306
Na3 Na 0.2332 0.6629 0.5314
Na4 Na 0.2332 0.8371 0.0314
Na5 Na 0.7668 0.1629 0.9686
Na6 Na 0.7668 0.3371 0.4686
Na7 Na 0.7812 0.6091 0.1694
Na8 Na 0.7812 0.8909 0.6694
As1 As 0.3097 0.1599 0.6183
As2 As 0.3097 0.3401 0.1183
As3 As 0.3204 0.6068 0.2901
As4 As 0.3204 0.8932 0.7901
As5 As 0.6796 0.1068 0.2099
As6 As 0.6796 0.3932 0.7099
As7 As 0.6903 0.6599 0.8817
As8 As 0.6903 0.8401 0.3817
# SG: P2_1/c, No. 14
# Volume, Å³/cell: 373.4

---

#b
# NaAs meta-GGA SCAN single point on PBEsol structure
data_NaAs
_chemical_formula_sum 'Na2 As2'
_symmetry_space_group_name_H-M 'P 1'
_symmetry_Int_Tables_number 1
_symmetry_space_group_name_Hall 'P 1'
_cell_length_a 5.8720
_cell_length_b 5.8720
_cell_length_c 3.6750
_cell_angle_alpha 90.00
_cell_angle_beta 90.00
_cell_angle_gamma 132.02
loop_
_atom_site_label
_atom_site_type_symbol
_atom_site_fract_x
_atom_site_fract_y
_atom_site_fract_z
Na1 Na 0.1371 0.8629 0.7500
Na2 Na 0.8629 0.1371 0.2500
As1 As 0.4209 0.5791 0.7500
As2 As 0.5791 0.4209 0.2500
# SG: Cmcm, No. 63
# Volume, Å³/cell: 94.1

---

Order of stability, best first: #a, #b

---

#a
# NaAs2Ru meta-GGA SCAN single point on PBEsol structure
data_NaAs2Ru
_chemical_formula_sum 'Na1 As2 Ru1'
_symmetry_space_group_name_H-M 'P 1'
_symmetry_Int_Tables_number 1
_symmetry_space_group_name_Hall 'P 1'
_cell_length_a 4.4299
_cell_length_b 4.4299
_cell_length_c 4.4299
_cell_angle_alpha 60.00
_cell_angle_beta 60.00
_cell_angle_gamma 60.00
loop_
_atom_site_label
_atom_site_type_symbol
_atom_site_fract_x
_atom_site_fract_y
_atom_site_fract_z
Na1 Na 0.0000 0.0000 0.0000
As1 As 0.2500 0.2500 0.2500
As2 As 0.7500 0.7500 0.7500
Ru1 Ru 0.5000 0.5000 0.5000
# SG: Fm-3m, No. 225
# Volume, Å³/cell: 61.5

---

#b
# NaAs2Ru meta-GGA SCAN single point on PBEsol structure
data_NaAs2Ru
_chemical_formula_sum 'Na2 As4 Ru2'
_symmetry_space_group_name_H-M 'P 1'
_symmetry_Int_Tables_number 1
_symmetry_space_group_name_Hall 'P 1'
_cell_length_a 6.8150
_cell_length_b 6.8150
_cell_length_c 6.8150
_cell_angle_alpha 123.86
_cell_angle_beta 123.86
_cell_angle_gamma 83.43
loop_
_atom_site_label
_atom_site_type_symbol
_atom_site_fract_x
_atom_site_fract_y
_atom_site_fract_z
Na1 Na 0.0000 0.0000 0.0000
Na2 Na 0.7500 0.2500 0.5000
As1 As 0.2102 0.6250 0.0853
As2 As 0.3750 0.4602 0.5853
As3 As 0.5397 0.1250 0.9148
As4 As 0.8750 0.7897 0.4148
Ru1 Ru 0.2500 0.7500 0.5000
Ru2 Ru 0.5000 0.5000 0.0000
# SG: I-42d, No. 122
# Volume, Å³/cell: 209.2

---

Order of stability, best first: #a, #b

---

#a
# YNbAsSe2 meta-GGA SCAN single point on PBEsol structure
data_YNbAsSe2
_chemical_formula_sum 'Y1 Nb1 As1 Se2'
_symmetry_space_group_name_H-M 'P 1'
_symmetry_Int_Tables_number 1
_symmetry_space_group_name_Hall 'P 1'
_cell_length_a 4.9239
_cell_length_b 4.9239
_cell_length_c 5.0158
_cell_angle_alpha 90.00
_cell_angle_beta 90.00
_cell_angle_gamma 90.00
loop_
_atom_site_label
_atom_site_type_symbol
_atom_site_fract_x
_atom_site_fract_y
_atom_site_fract_z
Y1 Y 0.0000 0.0000 0.0000
Nb1 Nb 0.5000 0.5000 0.5000
As1 As 0.5000 0.5000 0.0000
Se1 Se 0.0000 0.5000 0.5000
Se2 Se 0.5000 0.0000 0.5000
# SG: P4/mmm, No. 123
# Volume, Å³/cell: 121.6

---

#b
# YNbAsSe2 meta-GGA SCAN single point on PBEsol structure
data_YNbAsSe2
_chemical_formula_sum 'Y1 Nb1 As1 Se2'
_symmetry_space_group_name_H-M 'P 1'
_symmetry_Int_Tables_number 1
_symmetry_space_group_name_Hall 'P 1'
_cell_length_a 5.2195
_cell_length_b 5.2195
_cell_length_c 5.2297
_cell_angle_alpha 90.00
_cell_angle_beta 90.00
_cell_angle_gamma 90.00
loop_
_atom_site_label
_atom_site_type_symbol
_atom_site_fract_x
_atom_site_fract_y
_atom_site_fract_z
Y1 Y 0.0000 0.0000 0.0000
Nb1 Nb 0.5000 0.5000 0.5000
As1 As 0.0000 0.0000 0.5000
Se1 Se 0.0000 0.5000 0.0000
Se2 Se 0.5000 0.0000 0.0000
# SG: P4/mmm, No. 123
# Volume, Å³/cell: 142.5

---

Order of stability, best first: #a, #b

---

#a
# NiAs2Os meta-GGA SCAN single point on PBEsol structure
data_NiAs2Os
_chemical_formula_sum 'Ni1 As2 Os1'
_symmetry_space_group_name_H-M 'P 1'
_symmetry_Int_Tables_number 1
_symmetry_space_group_name_Hall 'P 1'
_cell_length_a 4.2921
_cell_length_b 4.2921
_cell_length_c 3.0248
_cell_angle_alpha 90.00
_cell_angle_beta 90.00
_cell_angle_gamma 90.00
loop_
_atom_site_label
_atom_site_type_symbol
_atom_site_fract_x
_atom_site_fract_y
_atom_site_fract_z
Ni1 Ni 0.0000 0.0000 0.0000
As1 As 0.0000 0.5000 0.5000
As2 As 0.5000 0.0000 0.5000
Os1 Os 0.5000 0.5000 0.0000
# SG: P4/mmm, No. 123
# Volume, Å³/cell: 55.7

---

#b
# NiAs2Os meta-GGA SCAN single point on PBEsol structure
data_NiAs2Os
_chemical_formula_sum 'Ni1 As2 Os1'
_symmetry_space_group_name_H-M 'P 1'
_symmetry_Int_Tables_number 1
_symmetry_space_group_name_Hall 'P 1'
_cell_length_a 4.8975
_cell_length_b 4.8975
_cell_length_c 3.0271
_cell_angle_alpha 106.90
_cell_angle_beta 106.90
_cell_angle_gamma 110.57
loop_
_atom_site_label
_atom_site_type_symbol
_atom_site_fract_x
_atom_site_fract_y
_atom_site_fract_z
Ni1 Ni 0.0000 0.0000 0.0000
As1 As 0.0000 0.5000 0.5000
As2 As 0.5000 0.0000 0.5000
Os1 Os 0.5000 0.5000 0.0000
# SG: C2/m, No. 12
# Volume, Å³/cell: 58.4

---

#c
# NiAs2Os meta-GGA SCAN single point on PBEsol structure
data_NiAs2Os
_chemical_formula_sum 'Ni1 As2 Os1'
_symmetry_space_group_name_H-M 'P 1'
_symmetry_Int_Tables_number 1
_symmetry_space_group_name_Hall 'P 1'
_cell_length_a 4.3276
_cell_length_b 4.3276
_cell_length_c 4.3276
_cell_angle_alpha 60.00
_cell_angle_beta 60.00
_cell_angle_gamma 60.00
loop_
_atom_site_label
_atom_site_type_symbol
_atom_site_fract_x
_atom_site_fract_y
_atom_site_fract_z
Ni1 Ni 0.0000 0.0000 0.0000
As1 As 0.5000 0.5000 0.5000
As2 As 0.7500 0.7500 0.7500
Os1 Os 0.2500 0.2500 0.2500
# SG: F-43m, No. 216
# Volume, Å³/cell: 57.3

---

Order of stability, best first: #a, #b, #c

---

#a
# Ni2AsP meta-GGA SCAN single point on PBEsol structure
data_Ni2AsP
_chemical_formula_sum 'Ni2 As1 P1'
_symmetry_space_group_name_H-M 'P 1'
_symmetry_Int_Tables_number 1
_symmetry_space_group_name_Hall 'P 1'
_cell_length_a 4.1843
_cell_length_b 4.1843
_cell_length_c 4.1843
_cell_angle_alpha 125.19
_cell_angle_beta 117.79
_cell_angle_gamma 87.56
loop_
_atom_site_label
_atom_site_type_symbol
_atom_site_fract_x
_atom_site_fract_y
_atom_site_fract_z
Ni1 Ni 0.2184 0.2184 0.0000
Ni2 Ni 0.7816 0.7816 0.0000
As1 As 0.5000 0.0000 0.5000
P1 P 0.0000 0.5000 0.5000
# SG: Immm, No. 71
# Volume, Å³/cell: 50.3

---

#b
# Ni2AsP meta-GGA SCAN single point on PBEsol structure
data_Ni2AsP
_chemical_formula_sum 'Ni2 As1 P1'
_symmetry_space_group_name_H-M 'P 1'
_symmetry_Int_Tables_number 1
_symmetry_space_group_name_Hall 'P 1'
_cell_length_a 4.0456
_cell_length_b 4.0456
_cell_length_c 3.0278
_cell_angle_alpha 90.00
_cell_angle_beta 90.00
_cell_angle_gamma 90.00
loop_
_atom_site_label
_atom_site_type_symbol
_atom_site_fract_x
_atom_site_fract_y
_atom_site_fract_z
Ni1 Ni 0.0000 0.5000 0.0000
Ni2 Ni 0.5000 0.0000 0.0000
As1 As 0.0000 0.0000 0.5000
P1 P 0.5000 0.5000 0.5000
# SG: P4/mmm, No. 123
# Volume, Å³/cell: 49.6

---

Order of stability, best first: #a, #b